# 1
Here is an optimized crystal structure of SrY3Ta from Alexandria via LeMat-Bulk. Energies are from GGA-PBE.

The total energy is -30.64 eV/cell. The calculation puts the calculated volume at 179.8 Å³/f.u. The spin magnetization comes out at 0.0 μB/f.u. Its formation energy is 0.458 eV/atom. The energy above the most stable polymorph in this dataset is 0 meV/atom.

The structure belongs to space group Pm-3m (No. 221); the cell edges are 5.644, 5.644 and 5.644 Å and the angles 90.00°, 90.00° and 90.00°. The asymmetric unit holds Sr at (0.000, 0.000, 0.000), Y at (0.000, 0.500, 0.500) and Ta at (0.500, 0.500, 0.500).

=====

# 2
Here is an optimized crystal structure of Er2TcNi from Alexandria via LeMat-Bulk. Energies are from GGA-PBE.

The total energy is -69.34 eV/cell. The calculation puts the calculated volume at 84.0 Å³/f.u. The spin magnetization comes out at 0.9 μB/f.u. Its formation energy is 0.540 eV/atom.

The structure belongs to space group R-3m (No. 166, hexagonal axes); the cell edges are 3.2445, 3.2445 and 27.6472 Å and the angles 90.00°, 90.00° and 120.00°. The asymmetric unit holds Er at (0.0000, 0.0000, 0.0956), Tc at (0.0000, 0.0000, 0.0000) and Ni at (0.0000, 0.0000, 0.5000).

=====

# 3
Here is an optimized crystal structure of Ca3ErPu2N6 from Alexandria via LeMat-Bulk. Energies are from GGA-PBE.

Its uncorrected formation energy is -15.2 eV/f.u. The total energy is -208.68 eV/cell. The calculation puts the calculated volume at 177.8 Å³/f.u. The spin magnetization comes out at 7.0 μB/f.u.

The structure belongs to space group C2/m (No. 12); the cell edges are 15.038, 3.492 and 6.971 Å and the angles 90.00°, 103.66° and 90.00°. The asymmetric unit holds Ca at (0.000, 0.000, 0.000), Ca at (0.166, 0.500, 0.333), Er at (0.000, 0.000, 0.500), Pu at (0.165, 0.500, 0.829), N at (0.013, 0.500, 0.745), N at (0.163, 0.000, 0.607) and N at (0.177, 0.000, 0.064).

=====

# 4
Here is an optimized crystal structure of MgGaPb from Alexandria via LeMat-Bulk. Energies are from GGA-PBE.

The total energy is -33.22 eV/cell. The calculation puts the calculated volume at 76.5 Å³/f.u. The spin magnetization comes out at 0.0 μB/f.u. Its formation energy is 0.008 eV/atom. The energy above the most stable polymorph in this dataset is 19 meV/atom.

The structure belongs to space group C2/m (No. 12); the cell edges are 8.420, 5.034 and 8.180 Å and the angles 90.00°, 118.04° and 90.00°. The asymmetric unit holds Mg at (0.158, 0.000, 0.373), Ga at (0.029, 0.500, 0.684) and Pb at (0.232, 0.500, 0.140).